Tb2Er8Sc after structural relaxation, computed with PBE.

a = 8.9698 Å, b = 8.9698 Å, c = 8.2806 Å
α = 116.36°, β = 116.36°, γ = 34.91°
Positions (direct):
Tb  0.2030  0.2030  0.1592
Tb  0.7970  0.7970  0.8408
Er  0.0154  0.0154  0.2219
Er  0.1559  0.1559  0.6899
Er  0.3394  0.3394  0.6125
Er  0.3846  0.3846  0.0677
Er  0.6154  0.6154  0.9323
Er  0.6606  0.6606  0.3875
Er  0.8441  0.8441  0.3101
Er  0.9846  0.9846  0.7781
Sc  0.5000  0.5000  0.5000

## Properties
The density of states at the Fermi level is 1.87 states/eV per atom. As for the symmetry: C2/m (12). The calculation puts the total energy at -4.63 eV/atom.


V6MoIr5 after structural relaxation, computed with PBE.

a = 4.4555 Å, b = 5.7798 Å, c = 6.7339 Å
α = 90.00°, β = 103.00°, γ = 90.00°
Positions (direct):
V  0.0000  0.2454  0.0000
V  0.0000  0.7546  0.0000
V  0.3826  0.2488  0.6464
V  0.3826  0.7512  0.6464
V  0.6174  0.2488  0.3536
V  0.6174  0.7512  0.3536
Mo  0.5000  0.0000  0.0000
Ir  0.1061  0.5000  0.3179
Ir  0.1079  0.0000  0.3213
Ir  0.5000  0.5000  0.0000
Ir  0.8921  0.0000  0.6787
Ir  0.8939  0.5000  0.6821

## Properties
The density of states at the Fermi level is 0.85 states/eV per atom. As for the symmetry: P2/m (10). The calculation puts the total energy at -9.55 eV/atom.


LiPr2DyTe5 after structural relaxation, computed with PBE.

a = 9.6782 Å, b = 9.6782 Å, c = 13.2728 Å
α = 90.00°, β = 90.00°, γ = 153.53°
Positions (direct):
Li  0.0584  0.9416  0.5000
Li  0.9416  0.0584  0.0000
Pr  0.3735  0.6265  0.3387
Pr  0.3940  0.6060  0.7220
Pr  0.6060  0.3940  0.2220
Pr  0.6265  0.3735  0.8387
Dy  0.3021  0.6979  0.0454
Dy  0.6979  0.3021  0.5454
Te  0.0016  0.9984  0.8193
Te  0.1387  0.8613  0.0347
Te  0.1889  0.8111  0.3823
Te  0.2171  0.7829  0.7036
Te  0.4522  0.5478  0.1078
Te  0.5478  0.4522  0.6078
Te  0.7829  0.2171  0.2036
Te  0.8111  0.1889  0.8823
Te  0.8613  0.1387  0.5347
Te  0.9984  0.0016  0.3193

## Properties
The value obtained for the formation energy from raw total energies is -30.83 kcal/mol of atoms. As for the symmetry: Cmc2_1 (36).


Ta3FeIr after structural relaxation, computed with PBE.

a = 4.4994 Å, b = 4.4994 Å, c = 4.4994 Å
α = 90.00°, β = 90.00°, γ = 90.00°
Positions (direct):
Ta  0.0000  0.0000  0.5000
Ta  0.0000  0.5000  0.0000
Ta  0.5000  0.0000  0.0000
Fe  0.0000  0.0000  0.0000
Ir  0.5000  0.5000  0.5000

## Properties
The density of states at the Fermi level is 1.14 states/eV per atom. For the excess energy over the best structure of this formula in the dataset, the calculation gives 0 meV/atom. As for the symmetry: Pm-3m (221).


Cs2KRbPt after structural relaxation, computed with PBE.

a = 6.8919 Å, b = 6.8919 Å, c = 6.7818 Å
α = 90.00°, β = 90.00°, γ = 90.00°
Positions (direct):
Cs  0.0000  0.5000  0.0000
Cs  0.5000  0.0000  0.0000
K  0.0000  0.0000  0.5000
Rb  0.5000  0.5000  0.5000
Pt  0.5000  0.5000  0.0000

## Properties
The density of states at the Fermi level is 0.16 states/eV per atom. As for the symmetry: P4/mmm (123). The calculation puts the total energy at -1.92 eV/atom.


MgAlSe after structural relaxation, computed with PBE.

a = 3.8234 Å, b = 5.9687 Å, c = 11.5540 Å
α = 90.00°, β = 90.00°, γ = 90.00°
Positions (direct):
Mg  0.0000  0.0000  0.0000
Mg  0.0000  0.5000  0.5000
Mg  0.5000  0.0000  0.5000
Mg  0.5000  0.5000  0.0000
Al  0.0000  0.0000  0.3115
Al  0.0000  0.5000  0.8115
Al  0.5000  0.0000  0.8115
Al  0.5000  0.5000  0.3115
Se  0.0000  0.0000  0.6649
Se  0.0000  0.5000  0.1649
Se  0.5000  0.0000  0.1649
Se  0.5000  0.5000  0.6649

## Properties
The value obtained for the formation energy from raw total energies is -5.25 kcal/mol of atoms. The density of states at the Fermi level is 0.22 states/eV per atom. For the excess energy over the best structure of this formula in the dataset, the calculation gives 268 meV/atom. As for the symmetry: Fmm2 (42).


NaNiHRu2 after structural relaxation, computed with PBE.

a = 4.7175 Å, b = 4.7175 Å, c = 4.3535 Å
α = 90.00°, β = 90.00°, γ = 90.00°
Positions (direct):
Na  0.0000  0.0000  0.0000
Ni  0.0000  0.0000  0.5000
H  0.5000  0.5000  0.5000
Ru  0.0000  0.5000  0.0000
Ru  0.5000  0.0000  0.0000

## Properties
The density of states at the Fermi level is 0.99 states/eV per atom. As for the symmetry: P4/mmm (123). The calculation puts the total energy at -3.09 eV/atom.


Pm4PuPb5 after structural relaxation, computed with PBE.

a = 4.1676 Å, b = 4.1676 Å, c = 17.0727 Å
α = 90.00°, β = 90.00°, γ = 90.00°
Positions (direct):
Pm  0.0000  0.0000  0.1006
Pm  0.0000  0.0000  0.3044
Pm  0.0000  0.0000  0.6956
Pm  0.0000  0.0000  0.8994
Pu  0.0000  0.0000  0.5000
Pb  0.5000  0.5000  0.0000
Pb  0.5000  0.5000  0.2011
Pb  0.5000  0.5000  0.4010
Pb  0.5000  0.5000  0.5990
Pb  0.5000  0.5000  0.7989

## Properties
The density of states at the Fermi level is 1.59 states/eV per atom. As for the symmetry: P4/mmm (123). The calculation puts the total energy at -5.59 eV/atom.


FeAu after structural relaxation, computed with PBE.

a = 2.7861 Å, b = 8.0528 Å, c = 8.5593 Å
α = 90.00°, β = 90.00°, γ = 90.00°
Positions (direct):
Fe  0.0000  0.0000  0.0000
Fe  0.0000  0.5000  0.5000
Fe  0.5000  0.1488  0.1884
Fe  0.5000  0.3512  0.6884
Fe  0.5000  0.6488  0.6884
Fe  0.5000  0.8512  0.1884
Au  0.0000  0.1745  0.4566
Au  0.0000  0.3255  0.9566
Au  0.0000  0.6745  0.9566
Au  0.0000  0.8255  0.4566
Au  0.5000  0.0000  0.7294
Au  0.5000  0.5000  0.2294

## Properties
The density of states at the Fermi level is 0.72 states/eV per atom. As for the symmetry: Amm2 (38). The calculation puts the total energy at -5.63 eV/atom.


CsScF4 after structural relaxation, computed with PBE.

a = 7.9850 Å, b = 7.9850 Å, c = 5.7231 Å
α = 110.70°, β = 110.70°, γ = 42.02°
Positions (direct):
Cs  0.2486  0.7514  0.7500
Cs  0.7514  0.2486  0.2500
Sc  0.0000  0.5000  0.0000
Sc  0.5000  0.0000  0.5000
F  0.1570  0.6316  0.1454
F  0.1974  0.2924  0.2928
F  0.2924  0.1974  0.7928
F  0.3684  0.8430  0.3546
F  0.6316  0.1570  0.6454
F  0.7076  0.8026  0.2072
F  0.8026  0.7076  0.7072
F  0.8430  0.3684  0.8546

## Properties
The value obtained for the formation energy from raw total energies is -83.58 kcal/mol of atoms. The density of states at the Fermi level is 0.00 states/eV per atom. For the excess energy over the best structure of this formula in the dataset, the calculation gives 0 meV/atom. As for the symmetry: C2/c (15).


La8NdEr4 after structural relaxation, computed with PBE.

a = 7.9693 Å, b = 7.9693 Å, c = 7.9693 Å
α = 90.29°, β = 90.29°, γ = 90.29°
Positions (direct):
La  0.2374  0.2374  0.2374
La  0.2370  0.2370  0.7599
La  0.2370  0.7599  0.2370
La  0.2401  0.7630  0.7630
La  0.7599  0.2370  0.2370
La  0.7630  0.2401  0.7630
La  0.7630  0.7630  0.2401
La  0.7626  0.7626  0.7626
Nd  0.5000  0.5000  0.5000
Er  0.0000  0.0000  0.0000
Er  0.0000  0.5000  0.5000
Er  0.5000  0.0000  0.5000
Er  0.5000  0.5000  0.0000

## Properties
The density of states at the Fermi level is 1.75 states/eV per atom. As for the symmetry: R-3m (166). The calculation puts the total energy at -4.38 eV/atom.


Sc9Bi3C2 after structural relaxation, computed with PBE.

a = 6.4770 Å, b = 6.4770 Å, c = 7.9425 Å
α = 90.00°, β = 90.00°, γ = 120.00°
Positions (direct):
Sc  0.0000  0.5000  0.0000
Sc  0.1686  0.3372  0.6706
Sc  0.1686  0.8314  0.6706
Sc  0.3372  0.1686  0.3294
Sc  0.5000  0.0000  0.0000
Sc  0.5000  0.5000  0.0000
Sc  0.6628  0.8314  0.6706
Sc  0.8314  0.1686  0.3294
Sc  0.8314  0.6628  0.3294
Bi  0.0000  0.0000  0.0000
Bi  0.3333  0.6667  0.3363
Bi  0.6667  0.3333  0.6637
C  0.3333  0.6667  0.8348
C  0.6667  0.3333  0.1652

## Properties
The density of states at the Fermi level is 1.16 states/eV per atom. As for the symmetry: P-3m1 (164). The calculation puts the total energy at -6.77 eV/atom.